A relaxed structure of KMgAg2Mo. Source: Alexandria via LeMat-Bulk, functional PBE.

D(E_F), states/eV per cell: 2.880
Total DFT energy (no corrections), eV/atom: -2.53
Calculated formation energy, eV per atom: 1.32
Volume, Å³ per cell: 151

Cell lengths 5.1277, 5.1277, 5.7386 Å; angles 90.00, 90.00, 90.00 degrees
With the nearest neighbours (Å) after each atom.
Space group P4/mmm (No. 123)
Unique sites:
K (0.0000, 0.0000, 0.0000) x1  2 Mg 2.87
Mg (0.0000, 0.0000, 0.5000) x1  4 Ag 2.56, 2 K 2.87
Ag (0.0000, 0.5000, 0.5000) x2  2 Mg 2.56
Mo (0.5000, 0.5000, 0.0000) x1  4 K 3.63, 8 Ag 3.85



A relaxed structure of MnRu2. Source: Alexandria via LeMat-Bulk, functional PBE.

D(E_F), states/eV per cell: 12.367
Total DFT energy (no corrections), eV/atom: -9.16
Calculated formation energy, eV per atom: 0.08
Volume, Å³ per cell: 161

Cell lengths 5.1926, 4.0159, 7.7149 Å; angles 90.00, 90.00, 90.00 degrees
With the nearest neighbours (Å) after each atom.
Space group Pnma (No. 62)
Unique sites:
Mn (0.1930, 0.2500, 0.1122) x4  10 Ru 2.50-2.73
Ru (0.0552, 0.2500, 0.7805) x4  5 Mn 2.53-2.73, 5 Ru 2.64-2.73
Ru (0.1761, 0.2500, 0.4392) x4  5 Mn 2.50-2.71, 3 Ru 2.71-2.73



A relaxed structure of CaLaSc2. Source: Alexandria via LeMat-Bulk, functional PBE.

D(E_F), states/eV per cell: 8.122
Total DFT energy (no corrections), eV/atom: -4.74
Calculated formation energy, eV per atom: 0.16
Volume, Å³ per cell: 125

Cell lengths 3.5844, 3.5844, 9.6972 Å; angles 90.00, 90.00, 90.00 degrees
With the nearest neighbours (Å) after each atom.
Space group P4/mmm (No. 123)
Unique sites:
Ca (0.0000, 0.0000, 0.0000) x1  4 Ca 3.58, 8 Sc 3.61
La (0.0000, 0.0000, 0.5000) x1  8 Sc 3.41, 4 La 3.58
Sc (0.5000, 0.5000, 0.2644) x2  4 La 3.41, 4 Sc 3.58, 4 Ca 3.61



A relaxed structure of NaCdHI. Source: Alexandria via LeMat-Bulk, functional PBE.

D(E_F), states/eV per cell: 0.959
Total DFT energy (no corrections), eV/atom: -2.06
Volume, Å³ per cell: 108

Cell lengths 3.9818, 4.0525, 6.6678 Å; angles 90.00, 90.47, 90.00 degrees
With the nearest neighbours (Å) after each atom.
Space group Pm (No. 6)
Unique sites:
Na (0.0000, 0.0000, 0.0000) x1  2 H 2.77
Cd (0.4963, 0.5000, 0.6722) x1  2 H 2.04
H (0.4960, 0.0000, 0.7117) x1  2 Cd 2.04
I (0.5025, 0.5000, 0.2093) x1  1 Cd 3.09, 4 Na 3.16-3.17



A relaxed structure of Pr2MgSi3Rh4. Source: Alexandria via LeMat-Bulk, functional PBE.

D(E_F), states/eV per cell: 6.974
Total DFT energy (no corrections), eV/atom: -6.61
Uncorrected formation energy, meV per atom: -931
Volume, Å³ per cell: 180

Cell lengths 4.1781, 4.1781, 10.2876 Å; angles 90.00, 90.00, 90.00 degrees
With the nearest neighbours (Å) after each atom.
Space group P-4m2 (No. 115)
Unique sites:
Pr (0.0000, 0.5000, 0.2468) x2  8 Rh 3.17-3.29, 6 Si 3.22-3.34, 2 Mg 3.34
Mg (0.0000, 0.0000, 0.5000) x1  4 Rh 2.54
Si (0.0000, 0.5000, 0.8773) x2  5 Rh 2.43-2.44
Si (0.5000, 0.5000, 0.5000) x1  4 Rh 2.54
Rh (0.0000, 0.0000, 0.0000) x1  4 Si 2.44
Rh (0.0000, 0.5000, 0.6412) x2  3 Si 2.43-2.54, 2 Mg 2.54
Rh (0.5000, 0.5000, 0.0000) x1  4 Si 2.44



A relaxed structure of LaH6Pt4. Source: Alexandria via LeMat-Bulk, functional PBE.

D(E_F), states/eV per cell: 3.627
Total DFT energy (no corrections), eV/atom: -4.73
Volume, Å³ per cell: 252

Cell lengths 9.3689, 5.5553, 5.1385 Å; angles 90.00, 109.37, 90.00 degrees
With the nearest neighbours (Å) after each atom.
Space group Cm (No. 8)
Unique sites:
La (0.0000, 0.0000, 0.0000) x2  3 H 2.43-2.71
H (0.0746, 0.0000, 0.5908) x2  2 Pt 1.75, 2 H 1.95
H (0.2468, 0.2477, 0.9636) x4  3 Pt 1.81-1.93
H (0.2648, 0.0000, 0.4515) x2  3 Pt 1.87-1.88
H (0.4789, 0.1993, 0.4275) x4  2 Pt 1.70-1.80
Pt (0.1793, 0.2591, 0.5853) x4  4 H 1.75-1.88
Pt (0.1918, 0.5000, 0.1305) x2  2 H 1.81
Pt (0.3690, 0.0000, 0.1975) x2  3 H 1.70-1.87



A relaxed structure of Y3MnTc. Source: Alexandria via LeMat-Bulk, functional PBE.

D(E_F), states/eV per cell: 5.537
Total DFT energy (no corrections), eV/atom: -7.31
Calculated formation energy, eV per atom: 0.47
Volume, Å³ per cell: 151

Cell lengths 5.3228, 5.3228, 5.3228 Å; angles 90.00, 90.00, 90.00 degrees
With the nearest neighbours (Å) after each atom.
Space group Pm-3m (No. 221)
Unique sites:
Y (0.0000, 0.0000, 0.5000) x3  2 Tc 2.66
Mn (0.5000, 0.5000, 0.5000) x1  12 Y 3.76
Tc (0.0000, 0.0000, 0.0000) x1  6 Y 2.66



A relaxed structure of Th3TcPt2. Source: Alexandria via LeMat-Bulk, functional PBE.

D(E_F), states/eV per cell: 15.203
Total DFT energy (no corrections), eV/atom: -8.26
Calculated formation energy, eV per atom: -0.81
Volume, Å³ per cell: 605

Cell lengths 8.4126, 5.8737, 12.2536 Å; angles 90.00, 90.00, 90.00 degrees
With the nearest neighbours (Å) after each atom.
Space group Pnma (No. 62)
Unique sites:
Th (0.1075, 0.2500, 0.0797) x4  3 Tc 2.91-2.95, 3 Pt 2.96-2.98
Th (0.1210, 0.2500, 0.7495) x4  2 Tc 2.83-2.88, 4 Pt 2.94-2.98
Th (0.1439, 0.2500, 0.4237) x4  1 Tc 2.79, 5 Pt 2.94-3.00
Tc (0.1323, 0.7500, 0.0919) x4  6 Th 2.79-2.95
Pt (0.1232, 0.7500, 0.7381) x4  6 Th 2.94-3.00
Pt (0.1272, 0.7500, 0.4205) x4  6 Th 2.94-2.98